# 1
Crystalline Nd3InAgHg2Pt2 at its relaxed geometry. Source: OQMD via LeMat-Bulk, functional PBE.

Lattice parameters (Å, degrees): 3.934 7.939 7.939 120.39 90.00 90.00
Positions (direct):
Nd 0.000 0.000 0.000
Nd 0.000 0.402 0.818
Nd 0.000 0.818 0.402
In 0.500 0.666 0.666
Ag 0.000 0.411 0.411
Hg 0.500 0.142 0.407
Hg 0.500 0.407 0.142
Pt 0.500 0.060 0.736
Pt 0.500 0.736 0.060

Properties
DFT total energy ... -39.241 eV/cell

# 2
Crystalline PrTm2In3PtAu2 at its relaxed geometry. Source: OQMD via LeMat-Bulk, functional PBE.

Lattice parameters (Å, degrees): 3.979 7.745 7.745 120.29 90.00 90.00
Positions (direct):
Pr 0.000 0.000 0.000
Tm 0.000 0.196 0.596
Tm 0.000 0.596 0.196
In 0.500 0.340 0.340
In 0.500 0.593 0.849
In 0.500 0.849 0.593
Pt 0.000 0.588 0.588
Au 0.500 0.271 0.925
Au 0.500 0.925 0.271

Properties
DFT total energy ... -41.805 eV/cell

# 3
Crystalline LiSiAg at its relaxed geometry. Source: OQMD via LeMat-Bulk, functional PBE.

Lattice parameters (Å, degrees): 4.206 4.206 4.206 60.00 60.00 60.00
Positions (direct):
Li 0.000 0.000 0.000
Si 0.750 0.750 0.750
Ag 0.500 0.500 0.500

Properties
Excess energy over the best structure of this formula in the dataset ... 210 meV per atom

# 4
Crystalline Sc2Zn at its relaxed geometry. Source: OQMD via LeMat-Bulk, functional PBE.

Lattice parameters (Å, degrees): 8.134 8.134 8.134 60.00 60.00 60.00
Positions (direct):
Sc 0.000 0.000 0.000
Sc 0.000 0.000 0.500
Sc 0.000 0.500 0.000
Sc 0.500 0.000 0.000
Zn 0.125 0.125 0.125
Zn 0.875 0.875 0.875

Properties
DFT formation energy ... 1520.4 meV/atom

# 5
Crystalline MgScGaNi at its relaxed geometry. Source: OQMD via LeMat-Bulk, functional PBE.

Lattice parameters (Å, degrees): 4.532 4.532 4.532 60.00 60.00 60.00
Positions (direct):
Mg 0.000 0.000 0.000
Sc 0.500 0.500 0.500
Ga 0.750 0.750 0.750
Ni 0.250 0.250 0.250

Properties
Excess energy over the best structure of this formula in the dataset ... 0 meV per atom

# 6
Crystalline Er2Pb at its relaxed geometry. Source: OQMD via LeMat-Bulk, functional PBE.

Lattice parameters (Å, degrees): 6.303 6.303 6.303 60.00 60.00 60.00
Positions (direct):
Er 0.000 0.000 0.000
Er 0.000 0.000 0.500
Er 0.000 0.500 0.000
Er 0.500 0.000 0.000
Pb 0.375 0.375 0.375
Pb 0.625 0.625 0.625

Properties
DFT total energy ... -25.111 eV/cell

# 7
Crystalline Lu4NiSbN2 at its relaxed geometry. Source: OQMD via LeMat-Bulk, functional PBE.

Lattice parameters (Å, degrees): 3.435 3.435 13.938 90.00 90.00 120.00
Positions (direct):
Lu 0.000 0.000 0.135
Lu 0.000 0.000 0.865
Lu 0.667 0.333 0.326
Lu 0.667 0.333 0.674
Ni 0.667 0.333 0.000
Sb 0.000 0.000 0.500
N 0.333 0.667 0.244
N 0.333 0.667 0.756

Properties
DFT total energy ... -53.152 eV/cell

# 8
Crystalline UTlPb at its relaxed geometry. Source: OQMD via LeMat-Bulk, functional PBE.

Lattice parameters (Å, degrees): 5.221 5.221 5.221 60.00 60.00 60.00
Positions (direct):
U 0.000 0.000 0.000
Tl 0.250 0.250 0.250
Pb 0.750 0.750 0.750

Properties
Excess energy over the best structure of this formula in the dataset ... 0 meV per atom